Crystalline NbTe2IrN at its relaxed geometry, computed with PBEsol.

Properties
Raw formation energy (eV/atom): 0.835
ρ (g/cm3): 8.5
Volume (Å³ per cell): 108
Space group: No. 123

POSCAR file:
```
NbTe2IrN
1.0
5.3669 0.0000 0.0000
0.0000 5.3669 0.0000
0.0000 0.0000 3.7577
Nb Te Ir N
1 2 1 1
direct
0.0000 0.0000 0.0000 Nb
0.0000 0.5000 0.0000 Te
0.5000 0.0000 0.0000 Te
0.5000 0.5000 0.5000 Ir
0.0000 0.0000 0.5000 N
```